DFT (PBE) results for a relaxed TbTmTiIn crystal.

Computed properties:
- N(E_F) (states/eV/f.u.) = 4.757
- ΔH_f (0 K) (meV per atom) = -90.8
- electronic total energy (Ha/atom) = -0.185

```
data_TbTmTiIn
_cell_length_a 7.401
_cell_length_b 7.401
_cell_length_c 7.401
_cell_angle_alpha 90.00
_cell_angle_beta 90.00
_cell_angle_gamma 90.00
_space_group_name_H-M_alt 'F -4 3 m'
_space_group_IT_number 216
_space_group_name_Hall 'F -4 2 3'
loop_
_atom_site_label
_atom_site_type_symbol
_atom_site_fract_x
_atom_site_fract_y
_atom_site_fract_z
Tb1 Tb 0.000 0.000 0.000
Tm1 Tm 0.000 0.000 0.500
Ti1 Ti 0.250 0.250 0.750
In1 In 0.250 0.250 0.250
```



DFT (PBE) results for a relaxed ZrCoP2 crystal.

Computed properties:
- N(E_F) (states/eV/f.u.) = 3.066
- ΔH_f (0 K) (meV per atom) = -724.3
- distance to the lowest polymorph of the same formula (meV per atom) = 0
- electronic total energy (Ha/atom) = -0.270

```
data_ZrCoP2
_cell_length_a 3.436
_cell_length_b 3.606
_cell_length_c 4.913
_cell_angle_alpha 90.00
_cell_angle_beta 90.00
_cell_angle_gamma 90.00
_space_group_name_H-M_alt 'P m m m'
_space_group_IT_number 47
loop_
_space_group_symop_operation_xyz
'x,y,z'
'-x,-y,-z'
'-x,-y,z'
'x,y,-z'
'x,-y,-z'
'-x,y,z'
'-x,y,-z'
'x,-y,z'
loop_
_atom_site_label
_atom_site_type_symbol
_atom_site_fract_x
_atom_site_fract_y
_atom_site_fract_z
Zr1 Zr 0.000 0.000 0.000
Co1 Co 0.500 0.000 0.500
P1 P 0.500 0.500 0.246
```



DFT (PBE) results for a relaxed RbVSn3 crystal.

Computed properties:
- N(E_F) (states/eV/f.u.) = 8.669
- ΔH_f (0 K) (meV per atom) = 1794.2
- distance to the lowest polymorph of the same formula (meV per atom) = 1829
- electronic total energy (Ha/atom) = -0.096

```
data_RbVSn3
_cell_length_a 5.895
_cell_length_b 5.895
_cell_length_c 5.895
_cell_angle_alpha 90.00
_cell_angle_beta 90.00
_cell_angle_gamma 90.00
_space_group_name_H-M_alt 'P m -3 m'
_space_group_IT_number 221
_space_group_name_Hall '-P 4 2 3'
loop_
_atom_site_label
_atom_site_type_symbol
_atom_site_fract_x
_atom_site_fract_y
_atom_site_fract_z
Rb1 Rb 0.000 0.000 0.000
V1 V 0.500 0.500 0.500
Sn1 Sn 0.000 0.000 0.500
```



DFT (PBE) results for a relaxed Rb2AgHCl6 crystal.

Computed properties:
- N(E_F) (states/eV/f.u.) = 0.000
- distance to the lowest polymorph of the same formula (meV per atom) = 10
- electronic total energy (Ha/atom) = -0.107

```
data_Rb2AgHCl6
_cell_length_a 7.733
_cell_length_b 7.733
_cell_length_c 9.094
_cell_angle_alpha 90.00
_cell_angle_beta 90.00
_cell_angle_gamma 90.00
_space_group_name_H-M_alt 'I 4/m m m'
_space_group_IT_number 139
_space_group_name_Hall '-I 4 2'
loop_
_atom_site_label
_atom_site_type_symbol
_atom_site_fract_x
_atom_site_fract_y
_atom_site_fract_z
Rb1 Rb 0.000 0.500 0.250
Ag1 Ag 0.000 0.000 0.000
H1 H 0.000 0.000 0.500
Cl1 Cl 0.000 0.000 0.329
Cl2 Cl 0.215 0.215 0.000
```



> Among the records above, which one has the lowest N(E_F)?

Rb2AgHCl6



What did the second record say?
DFT (PBE) results for a relaxed ZrCoP2 crystal.

Computed properties:
- N(E_F) (states/eV/f.u.) = 3.066
- ΔH_f (0 K) (meV per atom) = -724.3
- distance to the lowest polymorph of the same formula (meV per atom) = 0
- electronic total energy (Ha/atom) = -0.270

```
data_ZrCoP2
_cell_length_a 3.436
_cell_length_b 3.606
_cell_length_c 4.913
_cell_angle_alpha 90.00
_cell_angle_beta 90.00
_cell_angle_gamma 90.00
_space_group_name_H-M_alt 'P m m m'
_space_group_IT_number 47
loop_
_space_group_symop_operation_xyz
'x,y,z'
'-x,-y,-z'
'-x,-y,z'
'x,y,-z'
'x,-y,-z'
'-x,y,z'
'-x,y,-z'
'x,-y,z'
loop_
_atom_site_label
_atom_site_type_symbol
_atom_site_fract_x
_atom_site_fract_y
_atom_site_fract_z
Zr1 Zr 0.000 0.000 0.000
Co1 Co 0.500 0.000 0.500
P1 P 0.500 0.500 0.246
```